Entry 1:
CdRu2Rh (PBE, relaxed); SG = I-4m2, No. 119; density of states at the Fermi level = 6.031 states/eV/cell; total energy = -6.390 eV/atom
1.0
4.8535 0.0009 0.0000
1.6968 4.5472 0.0000
-3.2751 -2.2740 2.7674
Rh Ru Cd
1 2 1
Direct
0.7500 0.2500 0.5000
0.2500 0.7500 0.5000
0.0000 0.0000 0.0000
0.5000 0.5000 0.0000


Entry 2:
CdRu2Rh (PBE, relaxed); SG = R-3m, No. 166; density of states at the Fermi level = 5.789 states/eV/cell; total energy = -6.436 eV/atom
1.0
9.3255 -0.0014 -0.0008
8.9131 2.7426 -0.0008
8.9131 1.3396 2.3932
Ru Cd Rh
2 1 1
Direct
0.4945 0.4945 0.4945
0.0055 0.0055 0.0055
0.2500 0.2500 0.2500
0.7500 0.7500 0.7500


Entry 3:
Cd2RuRh2 (PBE, relaxed); SG = P4/mbm, No. 127; density of states at the Fermi level = 6.825 states/eV/cell; total energy = -4.873 eV/atom
1.0
-5.7490 -1.3279 -2.8659
-2.4769 -1.7981 5.8017
-1.2475 3.9248 0.6838
Ru Cd Rh
2 4 4
Direct
0.5000 0.5000 0.0000
0.0000 0.0000 0.0000
0.1716 0.6716 0.5000
0.8284 0.3284 0.5000
0.6716 0.8284 0.5000
0.3284 0.1716 0.5000
0.8660 0.6340 0.0000
0.6340 0.1340 0.0000
0.1340 0.3660 0.0000
0.3660 0.8660 0.0000


Entry 4:
Cd2RuRh (PBE, relaxed); SG = P4/mmm, No. 123; density of states at the Fermi level = 4.716 states/eV/cell; total energy = -4.357 eV/atom
1.0
4.6929 0.0000 0.0000
0.0000 4.6929 0.0000
0.0000 0.0000 3.0838
Cd Ru Rh
2 1 1
Direct
0.0000 0.0000 0.0000
0.5000 0.5000 0.0000
0.0000 0.5000 0.5000
0.5000 0.0000 0.5000


Entry 5:
CdRu2Rh (PBE, relaxed); SG = Imm2, No. 44; density of states at the Fermi level = 5.006 states/eV/cell; total energy = -6.337 eV/atom
1.0
5.4812 0.0047 -0.0014
2.7414 4.7464 0.0014
-3.4669 -3.4909 2.4163
Cd Ru Rh
1 2 1
Direct
0.5022 0.5022 0.0000
0.9926 0.9926 0.0000
0.7718 0.2718 0.5000
0.2333 0.7333 0.5000


Entry 6:
CdRu2Rh (PBE, relaxed); SG = P4mm, No. 99; density of states at the Fermi level = 4.059 states/eV/cell; total energy = -6.596 eV/atom
1.0
2.7997 0.0000 0.0000
0.0000 2.7997 0.0000
0.0000 0.0000 7.8549
Cd Ru Rh
1 2 1
Direct
0.0000 0.0000 0.5006
0.0000 0.0000 0.0064
0.5000 0.5000 0.2227
0.5000 0.5000 0.7703


Entry 7:
Cd2RuRh (PBE, relaxed); SG = R-3m, No. 166; density of states at the Fermi level = 3.431 states/eV/cell; total energy = -4.387 eV/atom
1.0
9.3709 0.0072 0.0042
8.9187 2.8758 0.0042
8.9187 1.4059 2.5087
Cd Ru Rh
2 1 1
Direct
0.5009 0.5009 0.5009
0.9991 0.9991 0.9991
0.7500 0.7500 0.7500
0.2500 0.2500 0.2500


Entry 8:
Cd2RuRh (PBE, relaxed); SG = P2/m, No. 10; density of states at the Fermi level = 3.826 states/eV/cell; total energy = -4.382 eV/atom
1.0
2.8830 0.0000 0.0000
0.0000 5.0707 0.0190
0.0000 3.3328 4.6138
Rh Ru Cd
1 1 2
Direct
0.5000 0.5000 0.5000
0.0000 0.0000 0.5000
0.0000 0.0000 0.0000
0.5000 0.5000 0.0000